[1]
A relaxed structure of CsSrGa2Pt. Source: the Alexandria database, functional PBE.

Properties
**Spin magnetization**: 0.00 μB/cell
**Total energy**: -3.19 eV per atom
**Symmetry**: P4/mmm, No. 123
**ΔH_f (0 K)**: -0.266 eV/atom

Unit cell a=5.042 b=5.042 c=5.862 alpha=90.00 beta=90.00 gamma=90.00
Fractional coordinates of all 5 atoms:
Cs1 0.000 0.000 0.000
Sr1 0.500 0.500 0.000
Ga1 0.000 0.500 0.500
Ga2 0.500 0.000 0.500
Pt1 0.500 0.500 0.500


[2]
A relaxed structure of BeCS3. Source: the Alexandria database, functional PBE.

Properties
**Spin magnetization**: 0.00 μB/cell
**Total energy**: -3.71 eV per atom
**Symmetry**: Pm-3m, No. 221
**Formation energy without anion corrections**: 1.36 eV/atom

Unit cell a=4.060 b=4.060 c=4.060 alpha=90.00 beta=90.00 gamma=90.00
Fractional coordinates of all 5 atoms:
Be1 0.000 0.000 0.000
C1 0.500 0.500 0.500
S1 0.000 0.500 0.500
S2 0.500 0.000 0.500
S3 0.500 0.500 0.000


[3]
A relaxed structure of LaTbThIn. Source: the Alexandria database, functional PBE.

Properties
**Spin magnetization**: 0.00 μB/cell
**Total energy**: -4.98 eV per atom
**Symmetry**: F-43m, No. 216
**ΔH_f (0 K)**: -0.050 eV/atom

Unit cell a=7.871 b=7.871 c=7.871 alpha=90.00 beta=90.00 gamma=90.00
Fractional coordinates of all 16 atoms:
La1 0.000 0.000 0.000
La2 0.000 0.500 0.500
La3 0.500 0.000 0.500
La4 0.500 0.500 0.000
Tb1 0.000 0.000 0.500
Tb2 0.000 0.500 0.000
Tb3 0.500 0.000 0.000
Tb4 0.500 0.500 0.500
Th1 0.250 0.250 0.250
Th2 0.250 0.750 0.750
Th3 0.750 0.250 0.750
Th4 0.750 0.750 0.250
In1 0.250 0.250 0.750
In2 0.250 0.750 0.250
In3 0.750 0.250 0.250
In4 0.750 0.750 0.750


[4]
A relaxed structure of Cd2AgBr. Source: the Alexandria database, functional PBE.

Properties
**Spin magnetization**: 0.00 μB/cell
**Total energy**: -1.71 eV per atom
**Symmetry**: C2/m, No. 12
**Formation energy without anion corrections**: -0.12 eV/atom

Unit cell a=9.295 b=3.794 c=7.780 alpha=90.00 beta=123.19 gamma=90.00
Fractional coordinates of all 8 atoms:
Cd1 0.228 0.000 0.335
Cd2 0.272 0.500 0.665
Cd3 0.728 0.500 0.335
Cd4 0.772 0.000 0.665
Ag1 0.000 0.000 0.500
Ag2 0.500 0.500 0.500
Br1 0.000 0.500 0.000
Br2 0.500 0.000 0.000


[5]
A relaxed structure of YCd2Au. Source: the Alexandria database, functional PBE.

Properties
**Spin magnetization**: 0.00 μB/cell
**Total energy**: -3.24 eV per atom
**Symmetry**: P2/m, No. 10
**ΔH_f (0 K)**: -0.348 eV/atom

Unit cell a=3.487 b=4.986 c=5.482 alpha=90.00 beta=99.02 gamma=90.00
Fractional coordinates of all 4 atoms:
Y1 0.000 0.000 0.000
Cd1 0.380 0.500 0.738
Cd2 0.620 0.500 0.262
Au1 0.500 0.000 0.500


[6]
A relaxed structure of ZnPS2F. Source: the Alexandria database, functional PBE.

Properties
**Spin magnetization**: 0.00 μB/cell
**Total energy**: -2.71 eV per atom
**Symmetry**: P4/mmm, No. 123
**Formation energy without anion corrections**: 0.65 eV/atom

Unit cell a=4.988 b=4.988 c=3.647 alpha=90.00 beta=90.00 gamma=90.00
Fractional coordinates of all 5 atoms:
Zn1 0.000 0.000 0.000
P1 0.500 0.500 0.000
S1 0.000 0.500 0.500
S2 0.500 0.000 0.500
F1 0.500 0.500 0.500


Values for density of states at the Fermi level, states/eV per atom, ordered as above
0.54, 0.57, 1.49, 0.24, 0.40, 0.87